Entry 1:
Ca2CrAs GGA-PBEsol optimized geometry; formation energy from the elements = -5 kJ per mole of atoms; E_tot = -19.82 eV/cell; symmetry = P4mm; volume = 91.1 Å³/cell
1.0
3.325 0.000 0.000
0.000 3.325 0.000
0.000 0.000 8.243
Ca Cr As
2 1 1
Cartesian
0.000 0.000 0.000
1.663 1.663 3.243
0.000 0.000 5.339
1.663 1.663 6.223



Entry 2:
Mo3W GGA-PBEsol optimized geometry; formation energy from the elements = 0 kJ per mole of atoms; E_tot = -49.11 eV/cell; symmetry = P2/m; polymorph energy (0 for the lowest one) = 0.3 kJ per mole of atoms; volume = 61.5 Å³/cell
1.0
2.715 0.000 0.000
0.000 4.432 0.000
-0.901 0.000 5.114
Mo W
3 1
Cartesian
0.000 0.000 0.000
-0.003 2.216 3.836
1.816 2.216 1.278
0.907 0.000 2.557



Entry 3:
MgRuPt2 GGA-PBEsol optimized geometry; formation energy from the elements = -23 kJ per mole of atoms; E_tot = -26.76 eV/cell; symmetry = I4/mmm; volume = 58.5 Å³/cell
1.0
-1.940 1.940 3.883
1.940 -1.940 3.883
1.940 1.940 -3.883
Mg Ru Pt
1 1 2
Cartesian
0.000 0.000 0.000
0.000 0.000 3.883
1.940 0.000 1.942
0.000 1.940 1.942



Entry 4:
Co2TeN GGA-PBEsol optimized geometry; E_tot = -24.06 eV/cell; energy relative to the elements, uncorrected = 0.866 eV/atom; symmetry = Fm-3m; volume = 47.4 Å³/cell
1.0
0.000 2.873 2.873
2.873 0.000 2.873
2.873 2.873 0.000
Co Te N
2 1 1
Cartesian
1.436 1.436 1.436
4.309 4.309 4.309
0.000 0.000 0.000
2.873 2.873 2.873



Entry 5:
NiB3S GGA-PBEsol optimized geometry; E_tot = -25.60 eV/cell; energy relative to the elements, uncorrected = 1.197 eV/atom; symmetry = Pm-3m; volume = 55.6 Å³/cell
1.0
3.817 0.000 0.000
0.000 3.817 0.000
0.000 0.000 3.817
Ni B S
1 3 1
Cartesian
0.000 0.000 0.000
0.000 0.000 1.908
0.000 1.908 0.000
1.908 0.000 0.000
1.908 1.908 1.908



Entry 6:
Sr2YCu2Bi2O8 GGA-PBEsol optimized geometry; E_tot = -195.16 eV/cell; energy relative to the elements, uncorrected = -1.856 eV/atom; symmetry = Cccm; volume = 427.7 Å³/cell
1.0
2.706 -15.003 0.000
2.706 15.003 0.000
0.000 0.000 5.267
Sr Y Cu Bi O
4 2 4 4 16
Cartesian
1.347 4.115 0.000
1.347 -4.115 2.634
4.065 4.115 2.634
4.065 -4.115 0.000
1.353 7.502 0.000
1.353 -7.502 2.634
1.352 5.959 2.634
1.352 -5.959 0.000
4.060 5.959 0.000
4.060 -5.959 2.634
1.428 1.399 2.634
1.428 -1.399 0.000
3.984 1.399 0.000
3.984 -1.399 2.634
1.260 3.505 2.634
2.706 8.942 1.317
2.706 8.942 3.951
1.813 1.487 0.000
2.706 6.028 1.317
2.706 6.028 3.951
1.260 -3.505 0.000
1.813 -1.487 2.634
3.599 1.487 2.634
4.152 3.505 0.000
2.706 -6.028 1.317
2.706 -6.028 3.951
3.599 -1.487 0.000
2.706 -8.942 1.317
2.706 -8.942 3.951
4.152 -3.505 2.634



Entry 7:
Sc2AgRh GGA-PBEsol optimized geometry; formation energy from the elements = -43 kJ per mole of atoms; E_tot = -26.46 eV/cell; symmetry = Imm2; volume = 70.9 Å³/cell
1.0
-1.772 2.156 4.639
1.772 -2.156 4.639
1.772 2.156 -4.639
Sc Ag Rh
2 1 1
Cartesian
0.000 0.000 0.000
0.000 2.156 2.145
1.772 0.000 2.428
0.000 0.000 4.756



Entry 8:
CuAg3 GGA-PBEsol optimized geometry; formation energy from the elements = 8 kJ per mole of atoms; E_tot = -27.89 eV/cell; symmetry = P6_3/mmc; volume = 123.4 Å³/cell
1.0
5.622 0.000 0.000
-2.811 4.869 0.000
0.000 0.000 4.507
Cu Ag
2 6
Cartesian
0.000 3.246 1.127
2.811 1.623 3.380
0.000 1.651 3.380
-1.382 4.044 3.380
1.429 0.825 1.127
1.382 4.044 3.380
4.193 0.825 1.127
2.811 3.218 1.127



- Which value of volume does entry 7 give?
  70.9 Å³/cell



- Among the records above, which one has the highest E_tot?
  Ca2CrAs